Computed, not measured: a relaxed PrYAl2Pt4 crystal at the PBE-GGA level of DFT.

Results
**Magnetic moment**: 0.0 μB per cell
**Uncorrected energy**: -6.500 eV/atom

abc: 4.3746 4.3746 9.5172
angles: 90.00 90.00 120.00
Closest atoms and distances in Å follow each position.
Element x y z (fractional)
Pr 0.0000 0.0000 0.0000  8 Pt 3.06-3.19
Y 0.3333 0.6667 0.5000  8 Pt 2.97-3.02
Al 0.6667 0.3333 0.2573  6 Pt 2.62-2.63
Al 0.6667 0.3333 0.7427  6 Pt 2.62-2.63
Pt 0.0000 0.0000 0.3353  3 Al 2.63, 3 Pt 2.91
Pt 0.0000 0.0000 0.6647  3 Al 2.63, 3 Pt 2.91
Pt 0.3333 0.6667 0.1824  3 Al 2.62, 3 Pt 2.91
Pt 0.3333 0.6667 0.8176  3 Al 2.62, 3 Pt 2.91